<A>
A plane-wave DFT calculation with meta-GGA SCAN was carried out for K2ReTc at its PBEsol-relaxed geometry.

The density comes out at 5570 kg/m³. The calculation puts the calculated volume at 108.0 Å³ per cell. For the spin magnetization, the calculation gives 0.08 μB/cell. The crystal system is tetragonal.

The space group is P4mm (No. 99) and the conventional cell measures 3.173, 3.173 and 10.732 Å, with angles of 90.00, 90.00 and 90.00 degrees. Symmetry generates all atoms from K at (0.000, 0.000, 0.000), K at (0.500, 0.500, 0.407), Re at (0.000, 0.000, 0.652) and Tc at (0.500, 0.500, 0.755).

***

<B>
A plane-wave DFT calculation with meta-GGA SCAN was carried out for K2ReTc at its PBEsol-relaxed geometry.

The density comes out at 7788 kg/m³. The calculation puts the calculated volume at 231.8 Å³ per cell. For the spin magnetization, the calculation gives 0.00 μB/cell. The crystal system is trigonal.

The space group is R-3m (No. 166, hexagonal axes) and the conventional cell measures 2.7464, 2.7464 and 35.4898 Å, with angles of 90.00, 90.00 and 120.00 degrees. Symmetry generates all atoms from K at (0.0000, 0.0000, 0.2502), Re at (0.0000, 0.0000, 0.5000) and Tc at (0.0000, 0.0000, 0.0000).

***

Most stable: <A> (next structure +0.563 eV/atom)

***

<A>
A plane-wave DFT calculation with meta-GGA SCAN was carried out for KTl2Re at its PBEsol-relaxed geometry.

The density comes out at 11695 kg/m³. The calculation puts the calculated volume at 90.0 Å³ per cell. For the spin magnetization, the calculation gives 0.66 μB/cell. The crystal system is tetragonal.

The space group is P4/mmm (No. 123) and the conventional cell measures 3.042, 3.042 and 9.726 Å, with angles of 90.00, 90.00 and 90.00 degrees. Symmetry generates all atoms from K at (0.000, 0.000, 0.000), Tl at (0.500, 0.500, 0.285) and Re at (0.000, 0.000, 0.500).

***

<B>
A plane-wave DFT calculation with meta-GGA SCAN was carried out for KTl2Re at its PBEsol-relaxed geometry.

The density comes out at 11751 kg/m³. The calculation puts the calculated volume at 268.8 Å³ per cell. For the spin magnetization, the calculation gives 1.51 μB/cell. The crystal system is trigonal.

The space group is R-3m (No. 166, hexagonal axes) and the conventional cell measures 3.1560, 3.1560 and 31.1616 Å, with angles of 90.00, 90.00 and 120.00 degrees. Symmetry generates all atoms from K at (0.0000, 0.0000, 0.0000), Tl at (0.0000, 0.0000, 0.2398) and Re at (0.0000, 0.0000, 0.5000).

***

<C>
A plane-wave DFT calculation with meta-GGA SCAN was carried out for KTl2Re at its PBEsol-relaxed geometry.

The density comes out at 11450 kg/m³. The calculation puts the calculated volume at 183.9 Å³ per cell. For the spin magnetization, the calculation gives 0.00 μB/cell. The crystal system is orthorhombic.

The space group is Cmm2 (No. 35) and the conventional cell measures 3.521, 4.884 and 10.694 Å, with angles of 90.00, 90.00 and 90.00 degrees. Symmetry generates all atoms from K at (0.000, 0.000, 0.000), Tl at (0.000, 0.000, 0.539), Tl at (0.000, 0.500, 0.286) and Re at (0.000, 0.500, 0.748).

***

Most stable: <A> (next structure +0.089 eV/atom)

***

<A>
A plane-wave DFT calculation with meta-GGA SCAN was carried out for KRe2W at its PBEsol-relaxed geometry.

The density comes out at 11371 kg/m³. The calculation puts the calculated volume at 86.9 Å³ per cell. For the spin magnetization, the calculation gives 0.00 μB/cell. The crystal system is orthorhombic.

The space group is Pmmm (No. 47) and the conventional cell measures 2.726, 4.052 and 7.870 Å, with angles of 90.00, 90.00 and 90.00 degrees. Symmetry generates all atoms from K at (0.000, 0.000, 0.000), Re at (0.500, 0.500, 0.347) and W at (0.000, 0.000, 0.500).

***

<B>
A plane-wave DFT calculation with meta-GGA SCAN was carried out for KRe2W at its PBEsol-relaxed geometry.

The density comes out at 14467 kg/m³. The calculation puts the calculated volume at 136.7 Å³ per cell. For the spin magnetization, the calculation gives 0.00 μB/cell. The crystal system is orthorhombic.

The space group is Cmmm (No. 65) and the conventional cell measures 5.774, 9.288 and 2.549 Å, with angles of 90.00, 90.00 and 90.00 degrees. Symmetry generates all atoms from K at (0.000, 0.000, 0.000), Re at (0.250, 0.250, 0.500) and W at (0.000, 0.500, 0.000).

***

Most stable: <A> (next structure +0.668 eV/atom)

***

<A>
A plane-wave DFT calculation with meta-GGA SCAN was carried out for KZrRe2 at its PBEsol-relaxed geometry.

The density comes out at 11687 kg/m³. The calculation puts the calculated volume at 142.9 Å³ per cell. For the spin magnetization, the calculation gives 0.00 μB/cell. The crystal system is tetragonal.

The space group is I4/mmm (No. 139) and the conventional cell measures 3.811, 3.811 and 9.834 Å, with angles of 90.00, 90.00 and 90.00 degrees. Symmetry generates all atoms from K at (0.000, 0.000, 0.000), Zr at (0.000, 0.000, 0.500) and Re at (0.000, 0.500, 0.250).

***

<B>
A plane-wave DFT calculation with meta-GGA SCAN was carried out for KZrRe2 at its PBEsol-relaxed geometry.

The density comes out at 8590 kg/m³. The calculation puts the calculated volume at 97.2 Å³ per cell. For the spin magnetization, the calculation gives 0.17 μB/cell. The crystal system is monoclinic.

The space group is Pm (No. 6) and the conventional cell measures 2.892, 4.002 and 8.512 Å, with angles of 90.00, 99.40 and 90.00 degrees. Symmetry generates all atoms from K at (0.000, 0.000, 0.000), Zr at (0.479, 0.500, 0.607), Re at (0.505, 0.500, 0.313) and Re at (0.964, 0.000, 0.422).

***

<C>
A plane-wave DFT calculation with meta-GGA SCAN was carried out for KZrRe2 at its PBEsol-relaxed geometry.

The density comes out at 10218 kg/m³. The calculation puts the calculated volume at 163.4 Å³ per cell. For the spin magnetization, the calculation gives 0.00 μB/cell. The crystal system is orthorhombic.

The space group is Imm2 (No. 44) and the conventional cell measures 3.191, 5.033 and 10.173 Å, with angles of 90.00, 90.00 and 90.00 degrees. Symmetry generates all atoms from K at (0.000, 0.000, 0.000), Zr at (0.000, 0.500, 0.218), Re at (0.000, 0.000, 0.439) and Re at (0.000, 0.500, 0.766).

***

<D>
A plane-wave DFT calculation with meta-GGA SCAN was carried out for KZrRe2 at its PBEsol-relaxed geometry.

The density comes out at 11251 kg/m³. The calculation puts the calculated volume at 296.8 Å³ per cell. For the spin magnetization, the calculation gives 0.00 μB/cell. The crystal system is cubic.

The space group is Fm-3m (No. 225) and the conventional cell measures 6.670, 6.670 and 6.670 Å, with angles of 90.00, 90.00 and 90.00 degrees. Symmetry generates all atoms from K at (0.000, 0.000, 0.000), Zr at (0.000, 0.000, 0.500) and Re at (0.250, 0.250, 0.250).

***

Most stable: <B> (next structure +0.436 eV/atom)

***

<A>
A plane-wave DFT calculation with meta-GGA SCAN was carried out for K2TcRh at its PBEsol-relaxed geometry.

The density comes out at 4262 kg/m³. The calculation puts the calculated volume at 108.7 Å³ per cell. For the spin magnetization, the calculation gives 0.01 μB/cell. The crystal system is monoclinic.

The space group is Pm (No. 6) and the conventional cell measures 2.795, 3.868 and 10.063 Å, with angles of 90.00, 91.45 and 90.00 degrees. Symmetry generates all atoms from K at (0.000, 0.000, 0.000), K at (0.444, 0.500, 0.427), Tc at (0.965, 0.000, 0.676) and Rh at (0.473, 0.500, 0.760).

***

<B>
A plane-wave DFT calculation with meta-GGA SCAN was carried out for K2TcRh at its PBEsol-relaxed geometry.

The density comes out at 6069 kg/m³. The calculation puts the calculated volume at 229.1 Å³ per cell. For the spin magnetization, the calculation gives 1.05 μB/cell. The crystal system is trigonal.

The space group is R-3m (No. 166, hexagonal axes) and the conventional cell measures 2.7919, 2.7919 and 33.9376 Å, with angles of 90.00, 90.00 and 120.00 degrees. Symmetry generates all atoms from K at (0.0000, 0.0000, 0.2467), Tc at (0.0000, 0.0000, 0.0000) and Rh at (0.0000, 0.0000, 0.5000).

***

Most stable: <A> (next structure +0.519 eV/atom)

***

<A>
A plane-wave DFT calculation with meta-GGA SCAN was carried out for K2TlRh at its PBEsol-relaxed geometry.

The density comes out at 5780 kg/m³. The calculation puts the calculated volume at 443.0 Å³ per cell. For the spin magnetization, the calculation gives 0.85 μB/cell. The crystal system is cubic.

The space group is Fm-3m (No. 225) and the conventional cell measures 7.623, 7.623 and 7.623 Å, with angles of 90.00, 90.00 and 90.00 degrees. Symmetry generates all atoms from K at (0.250, 0.250, 0.250), Tl at (0.000, 0.000, 0.000) and Rh at (0.000, 0.000, 0.500).

***

<B>
A plane-wave DFT calculation with meta-GGA SCAN was carried out for K2TlRh at its PBEsol-relaxed geometry.

The density comes out at 5334 kg/m³. The calculation puts the calculated volume at 240.0 Å³ per cell. For the spin magnetization, the calculation gives 0.00 μB/cell. The crystal system is orthorhombic.

The space group is Imm2 (No. 44) and the conventional cell measures 4.091, 5.604 and 10.468 Å, with angles of 90.00, 90.00 and 90.00 degrees. Symmetry generates all atoms from K at (0.000, 0.000, 0.000), K at (0.000, 0.500, 0.201), Tl at (0.000, 0.000, 0.416) and Rh at (0.000, 0.500, 0.761).

***

Most stable: <B> (next structure +0.361 eV/atom)